# Ba2TaTl2Te6 (PBE-GGA, optimized geometry)
data_Ba2TaTl2Te6
_chemical_formula_sum 'Ba4 Ta2 Tl4 Te12'
_cell_length_a 8.507
_cell_length_b 14.207
_cell_length_c 7.946
_cell_angle_alpha 90.00
_cell_angle_beta 107.61
_cell_angle_gamma 90.00
_symmetry_space_group_name_H-M 'C 1 2/m 1'
_symmetry_Int_Tables_number 12
loop_
_symmetry_equiv_pos_as_xyz
'x,y,z'
'-x,-y,-z'
'-x,y,-z'
'x,-y,z'
'x+1/2,y+1/2,z'
'-x+1/2,-y+1/2,-z'
'-x+1/2,y+1/2,-z'
'x+1/2,-y+1/2,z'
loop_
_atom_site_label
_atom_site_type_symbol
_atom_site_fract_x
_atom_site_fract_y
_atom_site_fract_z
_atom_site_occupancy
Ba1 Ba 0.000 0.169 0.000 1
Ta1 Ta 0.000 0.500 0.000 1
Tl1 Tl 0.000 0.351 0.500 1
Te1 Te 0.204 0.362 0.219 1
Te2 Te 0.207 0.500 0.780 1
# Formation energy without anion corrections = -704 meV per atom
# Spin magnetization = 0.00 μB/f.u.
# D(E_F) = 7.393 states/eV per cell
# Crystal system = monoclinic
# Total DFT energy (no corrections) = -4.275 eV/atom